Entry 1:
A crystal of Li2MgTl relaxed with PBEsol. Source: Alexandria, functional SCAN.

Cell lengths 4.784, 4.784, 6.707 Å; angles 90.00, 90.00, 90.00 degrees
Space group I-4m2 (No. 119)
Inequivalent atoms, fractional coordinates:
Li 0.000 0.000 0.000 (multiplicity 2)
Li 0.000 0.500 0.250 (multiplicity 2)
Mg 0.000 0.500 0.750 (multiplicity 2)
Tl 0.000 0.000 0.500 (multiplicity 2)

Total DFT energy (no corrections) (eV/atom): -20.88


Entry 2:
A crystal of CaGaNi2N relaxed with PBEsol. Source: Alexandria, functional SCAN.

Cell lengths 3.863, 3.863, 4.560 Å; angles 90.00, 90.00, 90.00 degrees
Space group P4/mmm (No. 123)
Inequivalent atoms, fractional coordinates:
Ca 0.000 0.000 0.000 (multiplicity 1)
Ga 0.500 0.500 0.000 (multiplicity 1)
Ni 0.000 0.500 0.500 (multiplicity 2)
N 0.000 0.000 0.500 (multiplicity 1)

Energy relative to the elements, uncorrected (kJ/mol of formula units): -24


Entry 3:
A crystal of WSe2 relaxed with PBEsol. Source: Alexandria, functional SCAN.

Cell lengths 3.2703, 3.2703, 13.1131 Å; angles 90.00, 90.00, 120.00 degrees
Space group P6_3/mmc (No. 194)
Inequivalent atoms, fractional coordinates:
W 0.3333 0.6667 0.2500 (multiplicity 2)
Se 0.3333 0.6667 0.6221 (multiplicity 4)

Energy relative to the elements, uncorrected (kJ/mol of formula units): -153


Entry 4:
A crystal of CaCr2Cl relaxed with PBEsol. Source: Alexandria, functional SCAN.

Cell lengths 7.126, 7.126, 7.126 Å; angles 90.00, 90.00, 90.00 degrees
Space group F-43m (No. 216)
Inequivalent atoms, fractional coordinates:
Ca 0.000 0.000 0.000 (multiplicity 4)
Cr 0.000 0.000 0.500 (multiplicity 4)
Cr 0.250 0.250 0.250 (multiplicity 4)
Cl 0.250 0.250 0.750 (multiplicity 4)

Energy relative to the elements, uncorrected (kJ/mol of formula units): 83
Excess energy over the best structure of this formula in the dataset (meV per atom): 491


Entry 5:
A crystal of RbRu3W relaxed with PBEsol. Source: Alexandria, functional SCAN.

Cell lengths 4.763, 4.763, 4.763 Å; angles 90.00, 90.00, 90.00 degrees
Space group Pm-3m (No. 221)
Inequivalent atoms, fractional coordinates:
Rb 0.000 0.000 0.000 (multiplicity 1)
Ru 0.000 0.500 0.500 (multiplicity 3)
W 0.500 0.500 0.500 (multiplicity 1)

Total DFT energy (no corrections) (eV/atom): -37.42


Entry 6:
A crystal of LaAl2Cd relaxed with PBEsol. Source: Alexandria, functional SCAN.

Cell lengths 4.499, 3.412, 11.911 Å; angles 90.00, 90.00, 90.00 degrees
Space group Amm2 (No. 38)
Inequivalent atoms, fractional coordinates:
La 0.000 0.000 0.000 (multiplicity 2)
Al 0.000 0.000 0.735 (multiplicity 2)
Al 0.500 0.000 0.613 (multiplicity 2)
Cd 0.500 0.000 0.326 (multiplicity 2)

Total DFT energy (no corrections) (eV/atom): -22.44


For the records above, the corresponding mass density values read 5.25, 5.89, 9.35, 3.30, 8.80, 5.54 g/cm³.